# 1
Below is a geometry-optimized Pu2PdI structure, with properties calculated at the GGA-PBE level.

Computed properties:
Symmetry   P4/mmm
Uncorrected energy   -37.22 eV/cell
ΔE_f (raw)   -43.8 kJ/mol of atoms

a b c (Å): 3.6188 3.6188 7.8502
angles (deg): 90.00 90.00 90.00
With the nearest neighbours (Å) after each atom.
Fractional coordinates of all 4 atoms:
Pu 0.0000 0.0000 0.2154  4 Pd 3.07, 1 Pu 3.38, 4 I 3.40
Pd 0.5000 0.5000 0.0000  8 Pu 3.07
Pu 0.0000 0.0000 0.7846  4 Pd 3.07, 1 Pu 3.38, 4 I 3.40
I 0.5000 0.5000 0.5000  8 Pu 3.40, 4 I 3.62

# 2
Below is a geometry-optimized Rb3Pd2I8 structure, with properties calculated at the GGA-PBE level.

Computed properties:
Symmetry   R-3m
Uncorrected energy   -34.04 eV/cell
ΔE_f (raw)   -62.0 kJ/mol of atoms

a b c (Å): 7.5912 7.5912 12.0944
angles (deg): 71.71 71.71 60.00
With the nearest neighbours (Å) after each atom.
Fractional coordinates of all 13 atoms:
I 0.7833 0.2629 0.6908  1 Pd 2.65
Rb 0.0000 0.0000 0.0000  12 I 4.07-4.42
Pd 0.3966 0.3966 0.8101  4 I 2.65-2.68
I 0.6826 0.6826 0.9523  1 Pd 2.68
I 0.3174 0.3174 0.0477  1 Pd 2.68
I 0.2629 0.2629 0.6908  1 Pd 2.65
Pd 0.6034 0.6034 0.1900  4 I 2.65-2.68
I 0.7371 0.2167 0.3092  1 Pd 2.65
Rb 0.2096 0.2096 0.3712  7 I 3.65-3.86
I 0.2167 0.7371 0.3092  1 Pd 2.65
I 0.2629 0.7833 0.6908  1 Pd 2.65
I 0.7371 0.7371 0.3092  1 Pd 2.65
Rb 0.7904 0.7904 0.6288  7 I 3.65-3.86

# 3
Below is a geometry-optimized Rb12Pd5I3 structure, with properties calculated at the GGA-PBE level.

Computed properties:
Symmetry   Ia-3d
Uncorrected energy   -189.13 eV/cell
ΔE_f (raw)   -24.4 kJ/mol of atoms

a b c (Å): 17.7878 17.7878 17.7878
angles (deg): 109.47 109.47 109.47
With the nearest neighbours (Å) after each atom.
Fractional coordinates of all 80 atoms:
I 0.6250 0.2500 0.3750  8 Rb 3.99-4.01
Pd 0.2500 0.8750 0.1250  4 Rb 3.10
Rb 0.0286 0.6187 0.7070  2 Pd 3.10-3.33
Rb 0.5901 0.6187 0.4117  2 Pd 3.10-3.33
Pd 0.1250 0.7500 0.3750  4 Rb 3.10
Rb 0.1187 0.4117 0.0901  2 Pd 3.10-3.33
Pd 0.3750 0.1250 0.7500  4 Rb 3.10
I 0.1250 0.8750 0.7500  8 Rb 3.99-4.01
I 0.2500 0.1250 0.3750  8 Rb 3.99-4.01
Rb 0.3813 0.9714 0.7930  2 Pd 3.10-3.33
Rb 0.8216 0.9117 0.2930  2 Pd 3.10-3.33
Rb 0.6187 0.5901 0.9117  2 Pd 3.10-3.33
Rb 0.4714 0.7930 0.8813  2 Pd 3.10-3.33
Rb 0.9117 0.0901 0.6187  2 Pd 3.10-3.33
Rb 0.7930 0.3216 0.9117  2 Pd 3.10-3.33
Rb 0.9714 0.5901 0.1784  2 Pd 3.10-3.33
I 0.1250 0.2500 0.8750  8 Rb 3.99-4.01
I 0.6250 0.3750 0.7500  8 Rb 3.99-4.01
Pd 0.7500 0.1250 0.8750  4 Rb 3.10
Rb 0.5901 0.9714 0.6784  2 Pd 3.10-3.33
Rb 0.5286 0.2070 0.1187  2 Pd 3.10-3.33
Pd 0.1250 0.3750 0.2500  4 Rb 3.10
Rb 0.7070 0.5883 0.1784  2 Pd 3.10-3.33
Rb 0.3813 0.4099 0.0883  2 Pd 3.10-3.33
I 0.3750 0.7500 0.6250  8 Rb 3.99-4.01
Pd 0.3750 0.2500 0.1250  4 Rb 3.10
Rb 0.9099 0.8216 0.5286  2 Pd 3.10-3.33
Rb 0.2930 0.4117 0.8216  2 Pd 3.10-3.33
Rb 0.2070 0.6784 0.0883  2 Pd 3.10-3.33
Rb 0.4099 0.0286 0.3216  2 Pd 3.10-3.33
I 0.2500 0.6250 0.8750  8 Rb 3.99-4.01
Rb 0.4117 0.1187 0.5901  2 Pd 3.10-3.33
Pd 0.5000 0.0000 0.0000  6 Rb 3.33
Rb 0.0286 0.4099 0.8216  2 Pd 3.10-3.33
Rb 0.5883 0.8813 0.4099  2 Pd 3.10-3.33
Rb 0.1784 0.0901 0.9714  2 Pd 3.10-3.33
Pd 0.0000 0.5000 0.5000  6 Rb 3.33
Rb 0.6187 0.0286 0.2070  2 Pd 3.10-3.33
I 0.7500 0.8750 0.6250  8 Rb 3.99-4.01
I 0.8750 0.1250 0.2500  8 Rb 3.99-4.01
Rb 0.8813 0.5883 0.9099  2 Pd 3.10-3.33
Rb 0.2930 0.8813 0.9714  2 Pd 3.10-3.33
Rb 0.6784 0.4714 0.5901  2 Pd 3.10-3.33
Rb 0.0901 0.9117 0.1187  2 Pd 3.10-3.33
Rb 0.5286 0.3216 0.9099  2 Pd 3.10-3.33
Rb 0.0883 0.1784 0.2070  2 Pd 3.10-3.33
Pd 0.0000 0.0000 0.0000  6 Rb 3.33
Rb 0.6784 0.2070 0.5883  2 Pd 3.10-3.33
Rb 0.4117 0.2930 0.3216  2 Pd 3.10-3.33
Pd 0.2500 0.3750 0.6250  4 Rb 3.10
I 0.3750 0.6250 0.2500  8 Rb 3.99-4.01
Pd 0.5000 0.5000 0.5000  6 Rb 3.33
Pd 0.5000 0.5000 0.0000  6 Rb 3.33
Rb 0.9099 0.0883 0.8813  2 Pd 3.10-3.33
Pd 0.5000 0.0000 0.5000  6 Rb 3.33
Rb 0.7930 0.4714 0.3813  2 Pd 3.10-3.33
Rb 0.8216 0.9099 0.0286  2 Pd 3.10-3.33
Rb 0.0883 0.9099 0.3813  2 Pd 3.10-3.33
Rb 0.7070 0.1187 0.0286  2 Pd 3.10-3.33
Rb 0.9117 0.8216 0.7930  2 Pd 3.10-3.33
Pd 0.8750 0.2500 0.6250  4 Rb 3.10
Pd 0.6250 0.7500 0.8750  4 Rb 3.10
Rb 0.3216 0.5286 0.4099  2 Pd 3.10-3.33
Rb 0.1784 0.0883 0.7070  2 Pd 3.10-3.33
Rb 0.8813 0.2930 0.4714  2 Pd 3.10-3.33
Rb 0.9714 0.3813 0.2930  2 Pd 3.10-3.33
I 0.7500 0.3750 0.1250  8 Rb 3.99-4.01
Pd 0.7500 0.6250 0.3750  4 Rb 3.10
Rb 0.4099 0.3813 0.5883  2 Pd 3.10-3.33
Rb 0.1187 0.7070 0.5286  2 Pd 3.10-3.33
Rb 0.3216 0.7930 0.4117  2 Pd 3.10-3.33
Pd 0.8750 0.6250 0.7500  4 Rb 3.10
Pd 0.0000 0.5000 0.0000  6 Rb 3.33
Pd 0.0000 0.0000 0.5000  6 Rb 3.33
Rb 0.5883 0.7070 0.6784  2 Pd 3.10-3.33
Rb 0.2070 0.5286 0.6187  2 Pd 3.10-3.33
Rb 0.0901 0.1784 0.4714  2 Pd 3.10-3.33
Rb 0.4714 0.6784 0.0901  2 Pd 3.10-3.33
I 0.8750 0.7500 0.1250  8 Rb 3.99-4.01
Pd 0.6250 0.8750 0.2500  4 Rb 3.10